Dy7Er12Cd: optimized geometry, PBE-GGA.

Computed properties:
Magnetic moment = 0.0 μB/f.u.
Density of states at the Fermi level = 30.39 states/eV per cell
DFT formation energy = 287 kJ/mol of formula units
Space-group type = No. 2

abc: 8.755 8.761 8.831
angles: 70.48 83.30 77.58
Atoms (fractional coordinates):
1 Dy 0.000 0.000 0.000
2 Dy 0.099 0.498 0.652
3 Dy 0.334 0.787 0.684
4 Dy 0.374 0.376 0.952
5 Dy 0.626 0.624 0.048
6 Dy 0.666 0.213 0.316
7 Dy 0.901 0.502 0.348
8 Er 0.011 0.879 0.379
9 Er 0.016 0.683 0.934
10 Er 0.263 0.559 0.260
11 Er 0.270 0.148 0.330
12 Er 0.342 0.942 0.051
13 Er 0.388 0.167 0.664
14 Er 0.612 0.833 0.336
15 Er 0.658 0.058 0.949
16 Er 0.730 0.852 0.670
17 Er 0.737 0.441 0.740
18 Er 0.984 0.317 0.066
19 Er 0.989 0.121 0.621
20 Cd 0.500 0.500 0.500


Dy4Er3Cd4: optimized geometry, PBE-GGA.

Computed properties:
Magnetic moment = 0.0 μB/f.u.
Density of states at the Fermi level = 12.13 states/eV per cell
DFT formation energy = -62 kJ/mol of formula units
Space-group type = No. 71

abc: 16.972 16.972 16.972
angles: 168.25 162.00 21.56
Atoms (fractional coordinates):
1 Dy 0.091 0.091 0.000
2 Dy 0.268 0.768 0.500
3 Dy 0.732 0.232 0.500
4 Dy 0.909 0.909 0.000
5 Er 0.000 0.500 0.500
6 Er 0.363 0.363 0.000
7 Er 0.637 0.637 0.000
8 Cd 0.182 0.182 0.000
9 Cd 0.456 0.956 0.500
10 Cd 0.544 0.044 0.500
11 Cd 0.818 0.818 0.000


Dy5Er3Cd2: optimized geometry, PBE-GGA.

Computed properties:
Magnetic moment = 0.0 μB/f.u.
Density of states at the Fermi level = 24.51 states/eV per cell
DFT formation energy = 187 kJ/mol of formula units
Space-group type = No. 72

abc: 10.307 10.307 10.307
angles: 100.35 91.42 142.70
Atoms (fractional coordinates):
1 Dy 0.173 0.099 0.273
2 Dy 0.250 0.011 0.761
3 Dy 0.250 0.250 0.000
4 Dy 0.250 0.489 0.239
5 Dy 0.327 0.599 0.926
6 Dy 0.673 0.401 0.074
7 Dy 0.750 0.511 0.761
8 Dy 0.750 0.750 0.000
9 Dy 0.750 0.989 0.239
10 Dy 0.827 0.901 0.727
11 Er 0.215 0.362 0.577
12 Er 0.250 0.750 0.500
13 Er 0.285 0.862 0.147
14 Er 0.715 0.138 0.853
15 Er 0.750 0.250 0.500
16 Er 0.785 0.638 0.423
17 Cd 0.133 0.630 0.763
18 Cd 0.367 0.130 0.498
19 Cd 0.633 0.870 0.502
20 Cd 0.867 0.370 0.237


Dy3Er7Cd: optimized geometry, PBE-GGA.

Computed properties:
Magnetic moment = 0.0 μB/f.u.
Density of states at the Fermi level = 15.14 states/eV per cell
DFT formation energy = 177 kJ/mol of formula units
Space-group type = No. 156

abc: 6.892 6.892 8.463
angles: 90.00 90.00 120.00
Atoms (fractional coordinates):
1 Dy 0.168 0.337 0.000
2 Dy 0.168 0.832 0.000
3 Dy 0.663 0.832 0.000
4 Er 0.006 0.503 0.661
5 Er 0.332 0.166 0.337
6 Er 0.333 0.667 0.329
7 Er 0.497 0.503 0.661
8 Er 0.497 0.994 0.661
9 Er 0.834 0.166 0.337
10 Er 0.834 0.668 0.337
11 Cd 0.000 0.000 0.660


DyEr3Cd: optimized geometry, PBE-GGA.

Computed properties:
Magnetic moment = 0.0 μB/f.u.
Energy relative to the lowest polymorph listed for this composition = 175 meV per atom
Density of states at the Fermi level = 15.80 states/eV per cell
DFT formation energy = 33 kJ/mol of formula units
Space-group type = No. 11

abc: 3.670 9.504 9.102
angles: 90.00 101.61 90.00
Atoms (fractional coordinates):
1 Dy 0.014 0.250 0.026
2 Dy 0.986 0.750 0.974
3 Er 0.201 0.250 0.402
4 Er 0.397 0.006 0.794
5 Er 0.397 0.494 0.794
6 Er 0.603 0.506 0.206
7 Er 0.603 0.994 0.206
8 Er 0.799 0.750 0.598
9 Cd 0.165 0.750 0.330
10 Cd 0.835 0.250 0.670


DyEr2Cd2: optimized geometry, PBE-GGA.

Computed properties:
Magnetic moment = 0.0 μB/f.u.
Density of states at the Fermi level = 9.01 states/eV per cell
DFT formation energy = -124 kJ/mol of formula units
Space-group type = No. 63

abc: 13.772 13.772 5.311
angles: 90.00 90.00 164.57
Atoms (fractional coordinates):
1 Dy 0.149 0.851 0.750
2 Dy 0.851 0.149 0.250
3 Er 0.046 0.954 0.250
4 Er 0.236 0.764 0.250
5 Er 0.764 0.236 0.750
6 Er 0.954 0.046 0.750
7 Cd 0.359 0.641 0.750
8 Cd 0.449 0.551 0.250
9 Cd 0.551 0.449 0.750
10 Cd 0.641 0.359 0.250


Dy2Er3Cd2: optimized geometry, PBE-GGA.

Computed properties:
Magnetic moment = 0.0 μB/f.u.
Energy relative to the lowest polymorph listed for this composition = 0 meV per atom
Density of states at the Fermi level = 8.01 states/eV per cell
DFT formation energy = -101 kJ/mol of formula units
Space-group type = No. 166

abc: 8.486 8.486 8.486
angles: 36.68 36.68 36.68
Atoms (fractional coordinates):
1 Dy 0.075 0.075 0.075
2 Dy 0.925 0.925 0.925
3 Er 0.344 0.344 0.344
4 Er 0.500 0.500 0.500
5 Er 0.656 0.656 0.656
6 Cd 0.212 0.212 0.212
7 Cd 0.788 0.788 0.788


DyEr2Cd5: optimized geometry, PBE-GGA.

Computed properties:
Magnetic moment = 0.0 μB/f.u.
Density of states at the Fermi level = 6.31 states/eV per cell
DFT formation energy = -228 kJ/mol of formula units
Space-group type = No. 139

abc: 5.110 5.110 14.920
angles: 90.00 90.00 90.00
Atoms (fractional coordinates):
1 Dy 0.000 0.000 0.000
2 Dy 0.500 0.500 0.500
3 Er 0.000 0.000 0.260
4 Er 0.000 0.000 0.740
5 Er 0.500 0.500 0.240
6 Er 0.500 0.500 0.760
7 Cd 0.000 0.000 0.500
8 Cd 0.000 0.500 0.121
9 Cd 0.000 0.500 0.379
10 Cd 0.000 0.500 0.621
11 Cd 0.000 0.500 0.879
12 Cd 0.500 0.000 0.121
13 Cd 0.500 0.000 0.379
14 Cd 0.500 0.000 0.621
15 Cd 0.500 0.000 0.879
16 Cd 0.500 0.500 0.000


Dy4Er3Cd: optimized geometry, PBE-GGA.

Computed properties:
Magnetic moment = 0.0 μB/f.u.
Density of states at the Fermi level = 10.79 states/eV per cell
DFT formation energy = -47 kJ/mol of formula units
Space-group type = No. 123

abc: 3.536 3.536 19.086
angles: 90.00 90.00 90.00
Atoms (fractional coordinates):
1 Dy 0.000 0.000 0.110
2 Dy 0.000 0.000 0.370
3 Dy 0.000 0.000 0.630
4 Dy 0.000 0.000 0.890
5 Er 0.500 0.500 0.240
6 Er 0.500 0.500 0.500
7 Er 0.500 0.500 0.760
8 Cd 0.500 0.500 0.000


DyEr2Cd3: optimized geometry, PBE-GGA.

Computed properties:
Magnetic moment = 0.0 μB/f.u.
Density of states at the Fermi level = 5.66 states/eV per cell
DFT formation energy = -184 kJ/mol of formula units
Space-group type = No. 123

abc: 3.726 3.726 11.153
angles: 90.00 90.00 90.00
Atoms (fractional coordinates):
1 Dy 0.000 0.000 0.000
2 Er 0.000 0.000 0.334
3 Er 0.000 0.000 0.666
4 Cd 0.500 0.500 0.169
5 Cd 0.500 0.500 0.500
6 Cd 0.500 0.500 0.831


Dy2ErCd3: optimized geometry, PBE-GGA.

Computed properties:
Magnetic moment = 0.0 μB/f.u.
Density of states at the Fermi level = 5.95 states/eV per cell
DFT formation energy = -185 kJ/mol of formula units
Space-group type = No. 164

abc: 5.274 5.274 6.478
angles: 90.00 90.00 120.00
Atoms (fractional coordinates):
1 Dy 0.333 0.667 0.170
2 Dy 0.667 0.333 0.830
3 Er 0.000 0.000 0.500
4 Cd 0.000 0.000 0.000
5 Cd 0.333 0.667 0.668
6 Cd 0.667 0.333 0.332


Dy8ErCd2: optimized geometry, PBE-GGA.

Computed properties:
Magnetic moment = 0.0 μB/f.u.
Density of states at the Fermi level = 14.27 states/eV per cell
DFT formation energy = 37 kJ/mol of formula units
Space-group type = No. 12

abc: 8.718 8.718 5.554
angles: 101.13 101.13 119.81
Atoms (fractional coordinates):
1 Dy 0.094 0.319 0.614
2 Dy 0.219 0.781 0.000
3 Dy 0.319 0.094 0.614
4 Dy 0.399 0.399 0.201
5 Dy 0.601 0.601 0.799
6 Dy 0.681 0.906 0.386
7 Dy 0.781 0.219 0.000
8 Dy 0.906 0.681 0.386
9 Er 0.000 0.000 0.000
10 Cd 0.306 0.694 0.500
11 Cd 0.694 0.306 0.500